No. 1
4
Lattice="4.019 0.000 0.000 0.000 3.706 0.000 -1.222 0.000 5.431" Properties=species:S:1:pos:R:3 comment="ZrPSe2 | the Alexandria database | PBE | optimized geometry" m_tot_mub_per_cell=0.00 spacegroup=P2/m pbc="T T T"
Zr 0.000 0.000 0.000
P 1.398 1.853 2.716
Se -0.611 0.000 2.716
Se 2.009 1.853 0.000



No. 2
5
Lattice="5.223 0.000 0.000 0.000 5.223 0.000 0.000 0.000 5.223" Properties=species:S:1:pos:R:3 comment="ZrPSe3 | the Alexandria database | PBE | optimized geometry" m_tot_mub_per_cell=1.53 de_polymorph_mev_per_atom=37 spacegroup=Pm-3m pbc="T T T"
Zr 0.000 0.000 0.000
P 2.612 2.612 2.612
Se 0.000 0.000 2.612
Se 0.000 2.612 0.000
Se 2.612 0.000 0.000



No. 3
12
Lattice="3.477 0.000 0.000 -1.738 3.011 0.000 0.000 0.000 25.375" Properties=species:S:1:pos:R:3 comment="ZrPSe2 | the Alexandria database | PBE | optimized geometry" m_tot_mub_per_cell=0.00 spacegroup=R3m pbc="T T T"
Zr 0.000 0.000 0.000
Zr 0.000 2.007 16.917
Zr 1.738 1.004 8.458
P 0.000 0.000 6.527
P 0.000 2.007 23.444
P 1.738 1.004 14.985
Se 0.000 0.000 13.315
Se 0.000 0.000 18.619
Se 0.000 2.007 4.856
Se 0.000 2.007 10.160
Se 1.738 1.004 1.702
Se 1.738 1.004 21.773



No. 4
8
Lattice="9.922 0.000 0.000 0.000 3.544 0.000 -0.416 0.000 4.668" Properties=species:S:1:pos:R:3 comment="ZrPSe2 | the Alexandria database | PBE | optimized geometry" m_tot_mub_per_cell=0.00 spacegroup=C2/m pbc="T T T"
Zr 0.000 0.000 0.000
Zr 4.961 1.772 0.000
P -0.208 1.772 2.334
P 4.753 0.000 2.334
Se 1.859 1.772 1.038
Se 2.686 0.000 3.630
Se 6.820 0.000 1.038
Se 7.646 1.772 3.630



No. 5
3
Lattice="3.138 0.000 0.000 0.000 3.661 0.000 -1.544 0.000 4.624" Properties=species:S:1:pos:R:3 comment="SiP2 | the Alexandria database | PBE | optimized geometry" m_tot_mub_per_cell=0.00 de_polymorph_mev_per_atom=351 spacegroup=P2/m pbc="T T T"
Si 0.000 0.000 0.000
P 0.014 1.831 1.561
P 1.580 1.831 3.063



No. 6
8
Lattice="2.714 0.000 0.000 0.000 10.076 0.000 0.000 0.000 4.644" Properties=species:S:1:pos:R:3 comment="Si3P | the Alexandria database | PBE | optimized geometry" m_tot_mub_per_cell=0.00 de_polymorph_mev_per_atom=245 spacegroup=Imm2 pbc="T T T"
Si 0.000 0.000 0.000
Si 0.000 3.149 1.121
Si 0.000 6.928 1.121
Si 1.357 1.889 3.443
Si 1.357 5.038 2.322
Si 1.357 8.187 3.443
P 0.000 5.038 4.317
P 1.357 0.000 1.995



No. 7
6
Lattice="4.763 0.000 0.000 0.000 5.602 0.000 -2.155 0.000 4.387" Properties=species:S:1:pos:R:3 comment="SiP2 | the Alexandria database | PBE | optimized geometry" m_tot_mub_per_cell=0.00 de_polymorph_mev_per_atom=242 spacegroup=C2 pbc="T T T"
Si 0.000 0.000 0.000
Si 2.382 2.801 0.000
P -0.546 1.024 3.155
P 0.773 3.826 1.232
P 1.836 3.826 3.155
P 3.154 1.024 1.232



No. 8
9
Lattice="7.309 0.000 0.000 -3.654 6.329 0.000 0.000 0.000 3.130" Properties=species:S:1:pos:R:3 comment="SiP2 | the Alexandria database | PBE | optimized geometry" m_tot_mub_per_cell=0.00 de_polymorph_mev_per_atom=580 spacegroup=P-62m pbc="T T T"
Si 0.000 0.000 0.000
Si 0.000 4.220 1.565
Si 3.654 2.110 1.565
P -0.954 1.652 1.565
P -1.810 3.135 0.000
P 1.908 0.000 1.565
P 3.620 0.000 0.000
P 1.844 3.194 0.000
P 2.700 4.677 1.565



No. 9
9
Lattice="-3.422 3.422 3.603 3.422 -3.422 3.603 3.422 3.422 -3.603" Properties=species:S:1:pos:R:3 comment="SiP8 | the Alexandria database | PBE | optimized geometry" m_tot_mub_per_cell=0.00 spacegroup=I4/mmm pbc="T T T"
Si 0.000 0.000 0.000
P 2.289 0.000 0.000
P 4.556 0.000 0.000
P 0.000 2.289 0.000
P 2.286 2.286 0.000
P 1.137 -1.137 3.603
P 0.000 4.556 0.000
P -1.137 1.137 3.603
P 1.137 1.137 3.603



No. 10
54
Lattice="10.131 0.000 0.000 0.000 10.131 0.000 0.000 0.000 10.131" Properties=species:S:1:pos:R:3 comment="Si23P4 | the Alexandria database | PBE | optimized geometry" m_tot_mub_per_cell=9.53 spacegroup=Pm-3n pbc="T T T"
Si 0.000 1.174 3.153
Si 0.000 1.174 6.978
Si 0.000 2.533 5.065
Si 0.000 7.598 5.065
Si 0.000 8.957 3.153
Si 0.000 8.957 6.978
Si 1.174 3.153 0.000
Si 1.174 6.978 0.000
Si 1.844 1.844 1.844
Si 1.844 1.844 8.286
Si 1.844 8.286 1.844
Si 1.844 8.286 8.286
Si 1.912 3.891 5.065
Si 1.912 6.239 5.065
Si 2.533 5.065 0.000
Si 3.153 0.000 1.174
Si 3.153 0.000 8.957
Si 3.221 3.221 3.221
Si 3.221 3.221 6.910
Si 3.221 6.910 3.221
Si 3.221 6.910 6.910
Si 3.891 5.065 1.912
Si 3.891 5.065 8.219
Si 5.065 0.000 2.533
Si 5.065 0.000 7.598
Si 5.065 1.912 3.891
Si 5.065 1.912 6.239
Si 5.065 8.219 3.891
Si 5.065 8.219 6.239
Si 6.239 5.065 1.912
Si 6.239 5.065 8.219
Si 6.910 3.221 3.221
Si 6.910 3.221 6.910
Si 6.910 6.910 3.221
Si 6.910 6.910 6.910
Si 6.978 0.000 1.174
Si 6.978 0.000 8.957
Si 7.598 5.065 0.000
Si 8.219 3.891 5.065
Si 8.219 6.239 5.065
Si 8.286 1.844 1.844
Si 8.286 1.844 8.286
Si 8.286 8.286 1.844
Si 8.286 8.286 8.286
Si 8.957 3.153 0.000
Si 8.957 6.978 0.000
P 0.000 0.000 0.000
P 0.000 5.065 2.533
P 0.000 5.065 7.598
P 2.533 0.000 5.065
P 5.065 2.533 0.000
P 5.065 5.065 5.065
P 5.065 7.598 0.000
P 7.598 0.000 5.065



No. 11
14
Lattice="3.381 0.000 0.000 0.000 3.381 0.000 0.000 0.000 21.068" Properties=species:S:1:pos:R:3 comment="Si4P3 | the Alexandria database | PBE | optimized geometry" m_tot_mub_per_cell=0.00 spacegroup=I4/mmm pbc="T T T"
Si 0.000 0.000 1.193
Si 0.000 0.000 6.348
Si 0.000 0.000 14.721
Si 0.000 0.000 19.876
Si 1.691 1.691 4.187
Si 1.691 1.691 9.341
Si 1.691 1.691 11.727
Si 1.691 1.691 16.882
P 0.000 0.000 3.941
P 0.000 0.000 10.534
P 0.000 0.000 17.128
P 1.691 1.691 0.000
P 1.691 1.691 6.594
P 1.691 1.691 14.475



No. 12
12
Lattice="11.177 0.000 0.000 0.000 2.825 0.000 -1.103 0.000 6.019" Properties=species:S:1:pos:R:3 comment="Si5P | the Alexandria database | PBE | optimized geometry" m_tot_mub_per_cell=0.00 de_polymorph_mev_per_atom=0 spacegroup=Cm pbc="T T T"
Si 0.000 0.000 0.000
Si -0.466 1.413 3.895
Si 0.873 1.413 1.827
Si 1.692 0.000 4.564
Si 3.106 1.413 2.849
Si 5.588 1.413 0.000
Si 5.123 0.000 3.895
Si 6.461 0.000 1.827
Si 7.280 1.413 4.564
Si 8.695 0.000 2.849
P 3.720 0.000 0.679
P 9.309 1.413 0.679



No. 13
16
Lattice="6.677 0.000 0.000 3.260 6.639 0.000 2.721 -0.091 7.202" Properties=species:S:1:pos:R:3 comment="Si3P5 | the Alexandria database | PBE | optimized geometry" m_tot_mub_per_cell=0.00 de_polymorph_mev_per_atom=0 spacegroup=P1 pbc="T T T"
Si 0.000 0.000 0.000
Si 1.674 -0.044 3.546
Si 4.603 3.317 5.219
Si 3.606 1.521 0.339
Si 6.629 5.221 0.478
Si 7.787 3.297 5.016
P 2.811 1.941 4.029
P 1.916 0.215 1.203
P 3.756 3.568 1.366
P 6.242 4.399 6.569
P 6.082 4.488 3.679
P 6.160 1.580 5.268
P 5.991 3.401 1.745
P 4.931 -0.010 1.414
P 9.495 4.876 5.406
P 9.483 1.966 6.279



Summary of calculated total energy in eV per atom
-5.5468, -4.7215, -5.6023, -5.7372, -5.1895, -4.9446, -5.2982, -4.9606, -4.8709, -4.9721, -5.0381, -4.9718, -5.3126
(order as listed above)